(1)
Entry from Alexandria: a relaxed Al2CdSi crystal (PBE).

Summary:
* V: 146 Å³ per cell
* energy: -3.23 eV/atom
* formation energy (no corrections): 87.4 kJ/mol of formula units
* polymorph energy (0 for the lowest one): 4.9 kJ/mol of atoms

a b c (Å): 9.4348 2.9680 5.2546
angles (deg): 90.00 98.54 90.00
Space group Cm (No. 8)
Symmetry-distinct sites (fractional):
Al  0.0000  0.0000  0.0000 [2 per cell]
Al  0.2478  0.5000  0.2472 [2 per cell]
Cd  0.2480  0.0000  0.7452 [2 per cell]
Si  0.4897  0.0000  0.4331 [2 per cell]

---

(2)
Entry from Alexandria: a relaxed BaAgHg2Ru crystal (PBE).

Summary:
* V: 145 Å³ per cell
* energy: -2.82 eV/atom
* ΔE_f: 0.11 eV/atom

a b c (Å): 5.2510 5.2510 5.2627
angles (deg): 90.00 90.00 90.00
Space group P4/mmm (No. 123)
Symmetry-distinct sites (fractional):
Ba  0.0000  0.0000  0.0000 [1 per cell]
Ag  0.5000  0.5000  0.0000 [1 per cell]
Hg  0.0000  0.5000  0.5000 [2 per cell]
Ru  0.5000  0.5000  0.5000 [1 per cell]

---

(3)
Entry from Alexandria: a relaxed Tb3Bi2Te crystal (PBE).

Summary:
* V: 927 Å³ per cell
* energy: -4.93 eV/atom
* formation energy (no corrections): -459.7 kJ/mol of formula units
* polymorph energy (0 for the lowest one): 24.5 kJ/mol of atoms

a b c (Å): 15.9197 9.3528 6.2259
angles (deg): 90.00 90.00 90.00
Space group Cmcm (No. 63)
Symmetry-distinct sites (fractional):
Tb  0.0000  0.1635  0.2500 [4 per cell]
Tb  0.1657  0.3340  0.7500 [8 per cell]
Bi  0.1659  0.3340  0.2500 [8 per cell]
Te  0.0000  0.1636  0.7500 [4 per cell]